Computed, not measured: a geometry-optimized WNCl structure at the PBE level of DFT.

Uncorrected formation energy ... -0.408 eV per atom

Unit cell a=4.819 b=6.810 c=8.936 alpha=90.00 beta=90.00 gamma=90.00
Element x y z (fractional)
W 0.025 0.050 0.073
W 0.525 0.950 0.927
W 0.025 0.550 0.927
W 0.525 0.450 0.073
Cl 0.030 0.986 0.322
Cl 0.530 0.014 0.678
Cl 0.030 0.486 0.678
Cl 0.530 0.514 0.322
N 0.175 0.317 0.023
N 0.675 0.683 0.977
N 0.175 0.817 0.977
N 0.675 0.183 0.023



Computed, not measured: a geometry-optimized ZnTePdI2 structure at the PBE level of DFT.

E above lowest polymorph ... 0 meV per atom
Uncorrected formation energy ... 0.264 eV per atom

Unit cell a=5.523 b=5.523 c=5.338 alpha=90.00 beta=90.00 gamma=90.00
Element x y z (fractional)
I 0.000 0.500 0.000
I 0.500 0.000 0.000
Zn 0.500 0.500 0.500
Te 0.000 0.000 0.500
Pd 0.000 0.000 0.000



Computed, not measured: a geometry-optimized LiCeCl5 structure at the PBE level of DFT.

Uncorrected formation energy ... -1.881 eV per atom

Unit cell a=7.200 b=7.200 c=10.500 alpha=67.16 beta=67.16 gamma=86.59
Element x y z (fractional)
Li 0.385 0.615 0.250
Li 0.615 0.385 0.750
Ce 0.000 0.000 0.000
Ce 0.000 0.000 0.500
Cl 0.747 0.672 0.165
Cl 0.211 0.706 0.460
Cl 0.672 0.747 0.665
Cl 0.922 0.078 0.250
Cl 0.294 0.789 0.040
Cl 0.706 0.211 0.960
Cl 0.078 0.922 0.750
Cl 0.328 0.253 0.335
Cl 0.789 0.294 0.540
Cl 0.253 0.328 0.835



Computed, not measured: a geometry-optimized Ce4Tl2Tc structure at the PBE level of DFT.

Energy relative to the elements ... 0.007 eV per atom

Unit cell a=3.723 b=8.565 c=6.543 alpha=101.00 beta=90.00 gamma=90.00
Site moments in Bohr magnetons follow the coordinates.
Element x y z (fractional)
Ce 0.500 0.063 0.787  0.30
Ce 0.000 0.417 0.145  0.88
Ce 0.500 0.080 0.356  0.30
Ce 0.000 0.726 0.998  0.88
Tl 0.500 0.427 0.685  -0.01
Tl 0.500 0.716 0.458  -0.01
Tc 0.000 0.071 0.071  -0.08



Computed, not measured: a geometry-optimized AlZnRu2 structure at the PBE level of DFT.

Energy relative to the elements ... -0.086 eV per atom

Unit cell a=2.967 b=4.614 c=4.142 alpha=90.00 beta=90.00 gamma=90.00
Element x y z (fractional)
Ru 0.000 0.000 0.000
Ru 0.500 0.500 0.000
Zn 0.500 0.000 0.500
Al 0.000 0.500 0.500



Computed, not measured: a geometry-optimized SrRh2O4 structure at the PBE level of DFT.

Uncorrected formation energy ... -1.279 eV per atom

Unit cell a=5.993 b=5.993 c=6.735 alpha=116.42 beta=116.42 gamma=90.00
Element x y z (fractional)
Sr 0.750 0.250 0.500
Sr 0.500 0.500 0.000
Rh 0.125 0.875 0.750
Rh 0.625 0.875 0.750
Rh 0.125 0.875 0.250
Rh 0.125 0.375 0.250
O 0.929 0.861 0.416
O 0.139 0.514 0.584
O 0.445 0.071 0.584
O 0.764 0.195 0.084
O 0.805 0.679 0.916
O 0.111 0.236 0.916
O 0.486 0.555 0.416
O 0.321 0.889 0.084



Computed, not measured: a geometry-optimized KRbAgI4 structure at the PBE level of DFT.

Uncorrected formation energy ... -0.855 eV per atom

Unit cell a=8.198 b=8.208 c=9.985 alpha=90.00 beta=114.24 gamma=90.00
Element x y z (fractional)
K 0.615 0.750 0.230
K 0.385 0.250 0.770
Rb 0.111 0.250 0.223
Rb 0.889 0.750 0.777
Ag 0.252 0.750 0.503
Ag 0.748 0.250 0.497
I 0.911 0.250 0.823
I 0.415 0.750 0.831
I 0.089 0.750 0.177
I 0.585 0.250 0.169
I 0.500 0.500 0.500
I 0.000 0.000 0.500
I 0.500 0.000 0.500
I 0.000 0.500 0.500



Computed, not measured: a geometry-optimized Li3GeSb2 structure at the PBE level of DFT.

Uncorrected formation energy ... -0.359 eV per atom

Unit cell a=4.296 b=8.536 c=8.064 alpha=121.96 beta=105.44 gamma=90.00
Element x y z (fractional)
Li 0.500 0.250 0.000
Li 0.500 0.750 0.000
Li 0.838 0.088 0.676
Li 0.162 0.412 0.324
Li 0.162 0.912 0.324
Li 0.838 0.588 0.676
Ge 0.000 0.500 0.000
Ge 0.000 0.000 0.000
Sb 0.341 0.341 0.681
Sb 0.659 0.159 0.319
Sb 0.341 0.841 0.681
Sb 0.659 0.659 0.319



Computed, not measured: a geometry-optimized YAs2Ir structure at the PBE level of DFT.

E above lowest polymorph ... 344 meV per atom
Energy relative to the elements ... -0.450 eV per atom

Unit cell a=3.666 b=3.665 c=5.824 alpha=90.00 beta=90.00 gamma=90.00
Element x y z (fractional)
Y 0.500 0.500 0.788
As 0.000 0.000 0.985
As 0.500 0.500 0.299
Ir 0.000 0.000 0.428



Computed, not measured: a geometry-optimized Mg4GeS6 structure at the PBE level of DFT.

Uncorrected formation energy ... -1.102 eV per atom

Unit cell a=7.000 b=7.052 c=12.213 alpha=74.05 beta=73.35 gamma=60.24
Element x y z (fractional)
Mg 0.298 0.977 0.650
Mg 0.075 0.477 0.150
Mg 0.777 0.213 0.459
Mg 0.550 0.713 0.959
Mg 0.927 0.671 0.650
Mg 0.752 0.171 0.150
Mg 0.665 0.247 0.801
Mg 0.287 0.747 0.301
Ge 0.690 0.780 0.398
Ge 0.132 0.280 0.898
S 0.404 0.528 0.143
S 0.924 0.028 0.643
S 0.484 0.601 0.473
S 0.442 0.101 0.973
S 0.489 0.102 0.459
S 0.949 0.602 0.959
S 0.937 0.094 0.947
S 0.022 0.594 0.447
S 0.012 0.151 0.264
S 0.574 0.651 0.764
S 0.256 0.321 0.709
S 0.714 0.821 0.209



Computed, not measured: a geometry-optimized In16AgSn12 structure at the PBE level of DFT.

Energy relative to the elements ... 0.043 eV per atom

Unit cell a=10.278 b=10.278 c=10.400 alpha=110.66 beta=110.66 gamma=110.91
Element x y z (fractional)
In 0.363 0.363 0.354
In 0.004 0.004 0.989
In 0.997 0.997 0.643
In 0.327 0.327 0.735
In 0.714 0.409 0.007
In 0.588 0.286 0.595
In 0.995 0.666 0.402
In 0.993 0.661 0.988
In 0.718 0.290 0.302
In 0.421 0.004 0.695
In 0.004 0.421 0.695
In 0.290 0.718 0.302
In 0.661 0.993 0.988
In 0.666 0.995 0.402
In 0.286 0.588 0.595
In 0.409 0.714 0.007
Ag 0.584 0.584 0.291
Sn 0.778 0.778 0.200
Sn 0.642 0.642 0.827
Sn 0.398 0.215 0.008
Sn 0.801 0.612 0.599
Sn 0.178 0.988 0.392
Sn 0.351 0.010 0.194
Sn 0.192 0.815 0.797
Sn 0.815 0.192 0.797
Sn 0.010 0.351 0.194
Sn 0.988 0.178 0.392
Sn 0.612 0.801 0.599
Sn 0.215 0.398 0.008



Computed, not measured: a geometry-optimized NdSmZn4 structure at the PBE level of DFT.

E above lowest polymorph ... 22 meV per atom
Energy relative to the elements ... -0.327 eV per atom

Unit cell a=5.558 b=5.558 c=5.558 alpha=60.00 beta=60.00 gamma=60.00
Element x y z (fractional)
Zn 0.625 0.625 0.125
Zn 0.625 0.125 0.625
Zn 0.625 0.625 0.625
Zn 0.125 0.625 0.625
Nd 0.250 0.250 0.250
Sm 0.000 0.000 0.000